The following is a PBE calculation of Cs7Rb12Hg after structural relaxation, from Alexandria.

Cell lengths 16.024, 16.024, 16.024 Å; angles 116.62, 116.62, 116.62 degrees
Fractional coordinates of all 20 atoms:
Cs: 0.000 0.000 0.000
Cs: 0.169 0.400 0.400
Cs: 0.400 0.169 0.400
Cs: 0.400 0.400 0.169
Cs: 0.600 0.600 0.831
Cs: 0.600 0.831 0.600
Cs: 0.831 0.600 0.600
Rb: 0.000 0.408 0.592
Rb: 0.000 0.592 0.408
Rb: 0.048 0.048 0.407
Rb: 0.048 0.407 0.048
Rb: 0.407 0.048 0.048
Rb: 0.408 0.000 0.592
Rb: 0.408 0.592 0.000
Rb: 0.592 0.000 0.408
Rb: 0.592 0.408 0.000
Rb: 0.593 0.952 0.952
Rb: 0.952 0.593 0.952
Rb: 0.952 0.952 0.593
Hg: 0.500 0.500 0.500

Output
* symmetry: R-3m, No. 166
* volume: 1920.9 Å³ per cell
* energy of formation from the pure elements: 0.025 eV/atom
* crystal system: trigonal


The following is a PBE calculation of Cs7Rb2Hg after structural relaxation, from Alexandria.

Cell lengths 13.079, 13.079, 16.105 Å; angles 122.01, 122.01, 60.08 degrees
Fractional coordinates of all 20 atoms:
Cs: 0.116 0.884 0.750
Cs: 0.150 0.594 0.198
Cs: 0.201 0.415 0.481
Cs: 0.269 0.560 0.889
Cs: 0.406 0.850 0.302
Cs: 0.415 0.201 0.981
Cs: 0.440 0.731 0.611
Cs: 0.560 0.269 0.389
Cs: 0.585 0.799 0.019
Cs: 0.594 0.150 0.698
Cs: 0.731 0.440 0.111
Cs: 0.799 0.585 0.519
Cs: 0.850 0.406 0.802
Cs: 0.884 0.116 0.250
Rb: 0.141 0.150 0.601
Rb: 0.150 0.141 0.101
Rb: 0.850 0.859 0.899
Rb: 0.859 0.850 0.399
Hg: 0.468 0.532 0.750
Hg: 0.532 0.468 0.250

Output
* symmetry: C2/c, No. 15
* volume: 1887.7 Å³ per cell
* energy of formation from the pure elements: -0.042 eV/atom
* crystal system: monoclinic


The following is a PBE calculation of Cs12RbHg7 after structural relaxation, from Alexandria.

Cell lengths 14.268, 14.268, 14.268 Å; angles 116.65, 116.65, 116.65 degrees
Fractional coordinates of all 20 atoms:
Cs: 0.042 0.342 0.139
Cs: 0.139 0.042 0.342
Cs: 0.219 0.753 0.614
Cs: 0.247 0.386 0.781
Cs: 0.342 0.139 0.042
Cs: 0.386 0.781 0.247
Cs: 0.614 0.219 0.753
Cs: 0.658 0.861 0.958
Cs: 0.753 0.614 0.219
Cs: 0.781 0.247 0.386
Cs: 0.861 0.958 0.658
Cs: 0.958 0.658 0.861
Rb: 0.500 0.500 0.500
Hg: 0.000 0.000 0.000
Hg: 0.155 0.371 0.462
Hg: 0.371 0.462 0.155
Hg: 0.462 0.155 0.371
Hg: 0.538 0.845 0.629
Hg: 0.629 0.538 0.845
Hg: 0.845 0.629 0.538

Output
* symmetry: R-3, No. 148
* volume: 1350.7 Å³ per cell
* energy of formation from the pure elements: -0.123 eV/atom
* crystal system: trigonal


The following is a PBE calculation of Cs4RbHg4 after structural relaxation, from Alexandria.

Cell lengths 11.875, 11.875, 7.743 Å; angles 90.00, 90.00, 90.00 degrees
Fractional coordinates of all 18 atoms:
Cs: 0.056 0.672 0.125
Cs: 0.172 0.944 0.625
Cs: 0.328 0.556 0.625
Cs: 0.444 0.828 0.125
Cs: 0.556 0.172 0.875
Cs: 0.672 0.444 0.375
Cs: 0.828 0.056 0.375
Cs: 0.944 0.328 0.875
Rb: 0.250 0.250 0.250
Rb: 0.750 0.750 0.750
Hg: 0.005 0.605 0.612
Hg: 0.105 0.995 0.112
Hg: 0.395 0.505 0.112
Hg: 0.495 0.895 0.612
Hg: 0.505 0.105 0.388
Hg: 0.605 0.495 0.888
Hg: 0.895 0.005 0.888
Hg: 0.995 0.395 0.388

Output
* symmetry: P4_2/n, No. 86
* volume: 1091.8 Å³ per cell
* energy of formation from the pure elements: -0.180 eV/atom
* crystal system: tetragonal


The following is a PBE calculation of Cs3RbHg after structural relaxation, from Alexandria.

Cell lengths 16.807, 16.807, 5.723 Å; angles 90.00, 90.00, 90.00 degrees
Fractional coordinates of all 20 atoms:
Cs: 0.000 0.317 0.000
Cs: 0.000 0.683 0.000
Cs: 0.098 0.098 0.500
Cs: 0.183 0.500 0.500
Cs: 0.317 0.000 0.000
Cs: 0.402 0.598 0.000
Cs: 0.500 0.183 0.500
Cs: 0.500 0.817 0.500
Cs: 0.598 0.402 0.000
Cs: 0.683 0.000 0.000
Cs: 0.817 0.500 0.500
Cs: 0.902 0.902 0.500
Rb: 0.191 0.809 0.500
Rb: 0.309 0.309 0.000
Rb: 0.691 0.691 0.000
Rb: 0.809 0.191 0.500
Hg: 0.069 0.931 0.000
Hg: 0.431 0.431 0.500
Hg: 0.569 0.569 0.500
Hg: 0.931 0.069 0.000

Output
* relative energy among the computed polymorphs: 10 meV/atom
* symmetry: P4_2/mnm, No. 136
* volume: 1616.7 Å³ per cell
* energy of formation from the pure elements: -0.090 eV/atom
* crystal system: tetragonal


The following is a PBE calculation of Cs2Rb3Hg after structural relaxation, from Alexandria.

Cell lengths 7.517, 7.517, 9.955 Å; angles 90.00, 90.00, 120.00 degrees
Fractional coordinates of all 6 atoms:
Cs: 0.000 0.000 0.232
Cs: 0.000 0.000 0.768
Rb: 0.333 0.667 0.500
Rb: 0.667 0.333 0.000
Rb: 0.667 0.333 0.500
Hg: 0.333 0.667 0.000

Output
* relative energy among the computed polymorphs: 42 meV/atom
* symmetry: P-6m2, No. 187
* volume: 487.1 Å³ per cell
* energy of formation from the pure elements: -0.007 eV/atom
* crystal system: hexagonal


The following is a PBE calculation of CsRb2Hg10 after structural relaxation, from Alexandria.

Cell lengths 7.277, 22.618, 6.785 Å; angles 90.00, 90.00, 90.00 degrees
Fractional coordinates of all 26 atoms:
Cs: 0.000 0.000 0.000
Cs: 0.500 0.500 0.000
Rb: 0.165 0.323 0.500
Rb: 0.335 0.823 0.500
Rb: 0.665 0.177 0.500
Rb: 0.835 0.677 0.500
Hg: 0.024 0.572 0.000
Hg: 0.030 0.724 0.000
Hg: 0.168 0.850 0.000
Hg: 0.179 0.153 0.274
Hg: 0.179 0.153 0.726
Hg: 0.321 0.653 0.274
Hg: 0.321 0.653 0.726
Hg: 0.332 0.350 0.000
Hg: 0.470 0.224 0.000
Hg: 0.476 0.072 0.000
Hg: 0.524 0.928 0.000
Hg: 0.530 0.776 0.000
Hg: 0.668 0.650 0.000
Hg: 0.679 0.347 0.274
Hg: 0.679 0.347 0.726
Hg: 0.821 0.847 0.274
Hg: 0.821 0.847 0.726
Hg: 0.832 0.150 0.000
Hg: 0.970 0.276 0.000
Hg: 0.976 0.428 0.000

Output
* symmetry: Pbam, No. 55
* volume: 1116.8 Å³ per cell
* energy of formation from the pure elements: -0.157 eV/atom
* crystal system: orthorhombic


The following is a PBE calculation of CsRb2Hg after structural relaxation, from Alexandria.

Cell lengths 12.698, 12.698, 12.698 Å; angles 24.23, 24.23, 24.23 degrees
Fractional coordinates of all 4 atoms:
Cs: 0.000 0.000 0.000
Rb: 0.223 0.223 0.223
Rb: 0.445 0.445 0.445
Hg: 0.834 0.834 0.834

Output
* symmetry: R3m, No. 160
* volume: 303.1 Å³ per cell
* energy of formation from the pure elements: -0.079 eV/atom
* crystal system: trigonal


The following is a PBE calculation of Cs3RbHg8 after structural relaxation, from Alexandria.

Cell lengths 6.782, 6.782, 11.152 Å; angles 90.00, 90.00, 120.00 degrees
Fractional coordinates of all 12 atoms:
Cs: 0.000 0.000 0.000
Cs: 0.000 0.000 0.379
Cs: 0.333 0.667 0.871
Rb: 0.333 0.667 0.499
Hg: 0.010 0.505 0.191
Hg: 0.331 0.165 0.685
Hg: 0.495 0.505 0.191
Hg: 0.495 0.990 0.191
Hg: 0.667 0.333 0.437
Hg: 0.667 0.333 0.947
Hg: 0.835 0.165 0.685
Hg: 0.835 0.669 0.685

Output
* relative energy among the computed polymorphs: 0 meV/atom
* symmetry: P3m1, No. 156
* volume: 444.2 Å³ per cell
* energy of formation from the pure elements: -0.232 eV/atom
* crystal system: trigonal


The following is a PBE calculation of Cs2Rb4Hg after structural relaxation, from Alexandria.

Cell lengths 10.596, 10.596, 8.864 Å; angles 104.23, 104.23, 36.71 degrees
Fractional coordinates of all 7 atoms:
Cs: 0.210 0.210 0.227
Cs: 0.790 0.790 0.773
Rb: 0.103 0.103 0.691
Rb: 0.453 0.453 0.753
Rb: 0.547 0.547 0.247
Rb: 0.897 0.897 0.309
Hg: 0.000 0.000 0.000

Output
* relative energy among the computed polymorphs: 0 meV/atom
* symmetry: C2/m, No. 12
* volume: 574.7 Å³ per cell
* energy of formation from the pure elements: -0.047 eV/atom
* crystal system: monoclinic


The following is a PBE calculation of Cs9Rb3Hg2 after structural relaxation, from Alexandria.

Cell lengths 10.779, 10.779, 25.507 Å; angles 90.00, 90.00, 120.00 degrees
Fractional coordinates of all 28 atoms:
Cs: 0.032 0.516 0.250
Cs: 0.170 0.339 0.588
Cs: 0.170 0.339 0.912
Cs: 0.170 0.830 0.588
Cs: 0.170 0.830 0.912
Cs: 0.339 0.170 0.088
Cs: 0.339 0.170 0.412
Cs: 0.484 0.516 0.250
Cs: 0.484 0.968 0.250
Cs: 0.516 0.032 0.750
Cs: 0.516 0.484 0.750
Cs: 0.661 0.830 0.588
Cs: 0.661 0.830 0.912
Cs: 0.830 0.170 0.088
Cs: 0.830 0.170 0.412
Cs: 0.830 0.661 0.088
Cs: 0.830 0.661 0.412
Cs: 0.968 0.484 0.750
Rb: 0.000 0.000 0.250
Rb: 0.000 0.000 0.750
Rb: 0.333 0.667 0.078
Rb: 0.333 0.667 0.422
Rb: 0.667 0.333 0.578
Rb: 0.667 0.333 0.922
Hg: 0.333 0.667 0.688
Hg: 0.333 0.667 0.812
Hg: 0.667 0.333 0.188
Hg: 0.667 0.333 0.312

Output
* symmetry: P6_3/mmc, No. 194
* volume: 2566.4 Å³ per cell
* energy of formation from the pure elements: -0.070 eV/atom
* crystal system: hexagonal


The following is a PBE calculation of Cs3RbHg after structural relaxation, from Alexandria.

Cell lengths 5.020, 10.517, 10.517 Å; angles 56.83, 90.00, 90.00 degrees
Fractional coordinates of all 5 atoms:
Cs: 0.000 0.000 0.000
Cs: 0.500 0.047 0.544
Cs: 0.500 0.544 0.047
Rb: 0.000 0.561 0.561
Hg: 0.500 0.147 0.147

Output
* relative energy among the computed polymorphs: 97 meV/atom
* symmetry: Amm2, No. 38
* volume: 464.8 Å³ per cell
* energy of formation from the pure elements: -0.003 eV/atom
* crystal system: orthorhombic


The following is a PBE calculation of CsRb5Hg2 after structural relaxation, from Alexandria.

Cell lengths 9.854, 9.854, 9.854 Å; angles 142.97, 106.81, 84.98 degrees
Fractional coordinates of all 8 atoms:
Cs: 0.000 0.000 0.000
Rb: 0.144 0.334 0.811
Rb: 0.477 0.666 0.811
Rb: 0.500 0.000 0.500
Rb: 0.523 0.334 0.189
Rb: 0.856 0.666 0.189
Hg: 0.240 0.740 0.500
Hg: 0.760 0.260 0.500

Output
* symmetry: Immm, No. 71
* volume: 534.4 Å³ per cell
* energy of formation from the pure elements: -0.097 eV/atom
* crystal system: orthorhombic


The following is a PBE calculation of CsRb6Hg2 after structural relaxation, from Alexandria.

Cell lengths 6.505, 6.505, 14.992 Å; angles 90.00, 90.00, 90.00 degrees
Fractional coordinates of all 9 atoms:
Cs: 0.000 0.000 0.000
Rb: 0.000 0.000 0.500
Rb: 0.000 0.500 0.242
Rb: 0.000 0.500 0.758
Rb: 0.500 0.000 0.242
Rb: 0.500 0.000 0.758
Rb: 0.500 0.500 0.500
Hg: 0.500 0.500 0.101
Hg: 0.500 0.500 0.899

Output
* symmetry: P4/mmm, No. 123
* volume: 634.5 Å³ per cell
* energy of formation from the pure elements: -0.066 eV/atom
* crystal system: tetragonal


The following is a PBE calculation of CsRb3Hg2 after structural relaxation, from Alexandria.

Cell lengths 11.173, 11.173, 15.217 Å; angles 120.89, 120.89, 27.33 degrees
Fractional coordinates of all 12 atoms:
Cs: 0.157 0.157 0.241
Cs: 0.843 0.843 0.759
Rb: 0.159 0.159 0.746
Rb: 0.415 0.415 0.066
Rb: 0.415 0.415 0.557
Rb: 0.585 0.585 0.443
Rb: 0.585 0.585 0.934
Rb: 0.841 0.841 0.254
Hg: 0.232 0.232 0.541
Hg: 0.233 0.233 0.041
Hg: 0.767 0.767 0.959
Hg: 0.768 0.768 0.459

Output
* relative energy among the computed polymorphs: 0 meV/atom
* symmetry: C2/m, No. 12
* volume: 740.5 Å³ per cell
* energy of formation from the pure elements: -0.171 eV/atom
* crystal system: monoclinic


The following is a PBE calculation of Cs4Rb7Hg after structural relaxation, from Alexandria.

Cell lengths 8.997, 8.997, 18.191 Å; angles 103.04, 103.04, 48.98 degrees
Fractional coordinates of all 12 atoms:
Cs: 0.053 0.053 0.310
Cs: 0.331 0.331 0.227
Cs: 0.669 0.669 0.773
Cs: 0.947 0.947 0.690
Rb: 0.133 0.133 0.961
Rb: 0.232 0.232 0.588
Rb: 0.399 0.399 0.873
Rb: 0.500 0.500 0.500
Rb: 0.601 0.601 0.127
Rb: 0.768 0.768 0.412
Rb: 0.867 0.867 0.039
Hg: 0.000 0.000 0.500

Output
* symmetry: C2/m, No. 12
* volume: 1076.2 Å³ per cell
* energy of formation from the pure elements: -0.033 eV/atom
* crystal system: monoclinic


The following is a PBE calculation of Cs3Rb5Hg3 after structural relaxation, from Alexandria.

Cell lengths 11.507, 11.507, 7.531 Å; angles 90.00, 90.00, 120.00 degrees
Fractional coordinates of all 11 atoms:
Cs: 0.000 0.622 0.000
Cs: 0.378 0.378 0.000
Cs: 0.622 0.000 0.000
Rb: 0.000 0.249 0.500
Rb: 0.249 0.000 0.500
Rb: 0.333 0.667 0.500
Rb: 0.667 0.333 0.500
Rb: 0.751 0.751 0.500
Hg: 0.000 0.629 0.500
Hg: 0.371 0.371 0.500
Hg: 0.629 0.000 0.500

Output
* symmetry: P-62m, No. 189
* volume: 863.6 Å³ per cell
* energy of formation from the pure elements: -0.100 eV/atom
* crystal system: hexagonal


The following is a PBE calculation of Cs2Rb6Hg after structural relaxation, from Alexandria.

Cell lengths 12.793, 12.793, 5.253 Å; angles 101.61, 101.61, 66.22 degrees
Fractional coordinates of all 9 atoms:
Cs: 0.122 0.122 0.152
Cs: 0.878 0.878 0.848
Rb: 0.171 0.476 0.830
Rb: 0.303 0.697 0.500
Rb: 0.476 0.171 0.830
Rb: 0.524 0.829 0.170
Rb: 0.697 0.303 0.500
Rb: 0.829 0.524 0.170
Hg: 0.500 0.500 0.000

Output
* relative energy among the computed polymorphs: 24 meV/atom
* symmetry: C2/m, No. 12
* volume: 763.7 Å³ per cell
* energy of formation from the pure elements: -0.021 eV/atom
* crystal system: monoclinic


The following is a PBE calculation of CsRbHg4 after structural relaxation, from Alexandria.

Cell lengths 4.797, 5.485, 9.414 Å; angles 90.00, 90.00, 90.00 degrees
Fractional coordinates of all 6 atoms:
Cs: 0.000 0.000 0.000
Rb: 0.000 0.500 0.500
Hg: 0.500 0.000 0.336
Hg: 0.500 0.000 0.664
Hg: 0.500 0.500 0.172
Hg: 0.500 0.500 0.828

Output
* relative energy among the computed polymorphs: 0 meV/atom
* symmetry: Pmmm, No. 47
* volume: 247.7 Å³ per cell
* energy of formation from the pure elements: -0.260 eV/atom
* crystal system: orthorhombic